[1]
A plane-wave DFT calculation with PBE was carried out for a geometry-optimized Cu15Rh2Au2 structure.

Properties
**Theoretical density**: 10.22 g/cm3
**Crystal system**: trigonal
**Density of states at the Fermi level**: 6.25 states/eV per cell
**ΔH_f (0 K)**: 0.0861 eV/atom
**Raw total energy**: -4.267 eV per atom

Cell lengths 6.379, 6.379, 6.379 Å; angles 81.89, 81.89, 81.89 degrees
Fractional positions:
Cu1 0.000 0.500 0.000
Cu2 0.354 0.843 0.354
Cu3 0.500 0.000 0.000
Cu4 0.302 0.000 0.698
Cu5 0.646 0.646 0.157
Cu6 0.354 0.354 0.843
Cu7 0.698 0.000 0.302
Cu8 0.843 0.354 0.354
Cu9 0.157 0.646 0.646
Cu10 0.000 0.698 0.302
Cu11 0.698 0.302 0.000
Cu12 0.000 0.000 0.500
Cu13 0.646 0.157 0.646
Cu14 0.302 0.698 0.000
Cu15 0.000 0.302 0.698
Au1 0.347 0.347 0.347
Au2 0.653 0.653 0.653
Rh1 0.102 0.102 0.102
Rh2 0.898 0.898 0.898


[2]
A plane-wave DFT calculation with PBE was carried out for a geometry-optimized CuRhAu structure.

Properties
**Theoretical density**: 13.55 g/cm3
**Crystal system**: tetragonal
**Density of states at the Fermi level**: 3.52 states/eV per cell
**ΔH_f (0 K)**: 0.1019 eV/atom
**Raw total energy**: -4.806 eV per atom

Cell lengths 6.026, 6.026, 6.026 Å; angles 153.16, 153.16, 38.32 degrees
Fractional positions:
Au1 0.994 0.994 0.000
Cu1 0.328 0.328 0.000
Rh1 0.677 0.677 0.000


[3]
A plane-wave DFT calculation with PBE was carried out for a geometry-optimized CuRhAu structure.

Properties
**Theoretical density**: 13.44 g/cm3
**Crystal system**: trigonal
**Density of states at the Fermi level**: 3.41 states/eV per cell
**ΔH_f (0 K)**: 0.1022 eV/atom
**Raw total energy**: -4.806 eV per atom

Cell lengths 2.792, 2.792, 6.651 Å; angles 90.00, 90.00, 120.00 degrees
Fractional positions:
Cu1 0.667 0.333 0.341
Rh1 0.333 0.667 0.650
Au1 0.000 0.000 0.009


[4]
A plane-wave DFT calculation with PBE was carried out for a geometry-optimized Cu5RhAu structure.

Properties
**Theoretical density**: 10.13 g/cm3
**Crystal system**: orthorhombic
**Density of states at the Fermi level**: 4.09 states/eV per cell
**ΔH_f (0 K)**: 0.1739 eV/atom
**Raw total energy**: -4.270 eV per atom

Cell lengths 4.507, 4.507, 5.282 Å; angles 90.00, 90.00, 109.23 degrees
Fractional positions:
Cu1 0.000 0.500 0.745
Cu2 0.000 0.500 0.255
Cu3 0.000 0.000 0.500
Cu4 0.500 0.000 0.745
Cu5 0.500 0.000 0.255
Au1 0.000 0.000 0.000
Rh1 0.500 0.500 0.500


[5]
A plane-wave DFT calculation with PBE was carried out for a geometry-optimized Cu7RhAu12 structure.

Properties
**Theoretical density**: 13.72 g/cm3
**Crystal system**: trigonal
**Density of states at the Fermi level**: 7.81 states/eV per cell
**ΔH_f (0 K)**: 0.1803 eV/atom
**Raw total energy**: -3.587 eV per atom

Cell lengths 7.099, 7.099, 7.099 Å; angles 95.58, 95.58, 95.58 degrees
Fractional positions:
Au1 0.787 0.250 0.787
Au2 0.567 0.567 0.851
Au3 0.787 0.787 0.250
Au4 0.433 0.433 0.149
Au5 0.213 0.750 0.213
Au6 0.213 0.213 0.750
Au7 0.149 0.433 0.433
Au8 0.567 0.851 0.567
Au9 0.851 0.567 0.567
Au10 0.433 0.149 0.433
Au11 0.250 0.787 0.787
Au12 0.750 0.213 0.213
Cu1 0.934 0.637 0.934
Cu2 0.500 0.500 0.500
Cu3 0.363 0.066 0.066
Cu4 0.066 0.066 0.363
Cu5 0.637 0.934 0.934
Cu6 0.066 0.363 0.066
Cu7 0.934 0.934 0.637
Rh1 0.000 0.000 0.000


[6]
A plane-wave DFT calculation with PBE was carried out for a geometry-optimized Cu2SbRhAu structure.

Properties
**Theoretical density**: 8.35 g/cm3
**Crystal system**: tetragonal
**Density of states at the Fermi level**: 3.44 states/eV per cell
**Uncorrected formation energy**: 0.865 eV/atom
**Raw total energy**: -3.724 eV per atom

Cell lengths 4.652, 5.040, 4.652 Å; angles 90.00, 90.00, 90.00 degrees
Fractional positions:
Au1 0.000 0.000 0.000
Rh1 0.000 0.500 0.000
Cu1 0.000 0.000 0.500
Cu2 0.500 0.000 0.000
Sb1 0.500 0.500 0.500


[7]
A plane-wave DFT calculation with PBE was carried out for a geometry-optimized ScCuRhAu structure.

Properties
**Theoretical density**: 10.78 g/cm3
**Crystal system**: orthorhombic
**Density of states at the Fermi level**: 0.64 states/eV per cell
**ΔH_f (0 K)**: -0.6109 eV/atom
**Raw total energy**: -5.875 eV per atom

Cell lengths 3.798, 3.881, 4.268 Å; angles 90.00, 90.00, 90.00 degrees
Fractional positions:
Rh1 0.500 0.000 0.500
Au1 0.500 0.500 0.000
Cu1 0.000 0.000 0.000
Sc1 0.000 0.500 0.500


[8]
A plane-wave DFT calculation with PBE was carried out for a geometry-optimized Sc4CuRh2Au structure.

Properties
**Theoretical density**: 7.54 g/cm3
**Crystal system**: trigonal
**Density of states at the Fermi level**: 5.24 states/eV per cell
**ΔH_f (0 K)**: -0.7547 eV/atom
**Raw total energy**: -6.680 eV per atom

Cell lengths 4.649, 4.649, 8.058 Å; angles 73.23, 73.23, 60.00 degrees
Fractional positions:
Au1 0.000 0.000 0.000
Sc1 0.622 0.622 0.133
Sc2 0.873 0.873 0.382
Sc3 0.127 0.127 0.618
Sc4 0.378 0.378 0.867
Cu1 0.500 0.500 0.500
Rh1 0.751 0.751 0.748
Rh2 0.249 0.249 0.252